1.
# YBiRh2C

A relaxed structure of YBiRh2C (GGA-PBE, Alexandria).

Total energy = -5.71 eV/atom
Energy of formation = 110.8 kJ per mole of atoms
DOS(E_F) = 2.1 states/eV/f.u.

a b c (Å): 4.998 4.998 4.472
angles (deg): 90.00 90.00 90.00
Sites, in units of the cell vectors:
Y1 0.000 0.000 0.000
Bi1 0.500 0.500 0.500
Rh1 0.000 0.500 0.500
Rh2 0.500 0.000 0.500
C1 0.500 0.500 0.000


2.
# Cu2SnSb2

A relaxed structure of Cu2SnSb2 (GGA-PBE, Alexandria).

Total energy = -3.97 eV/atom
Energy above the lowest structure with this stoichiometry = 0 meV per atom
DOS(E_F) = 1.9 states/eV/f.u.
ΔE_f (raw) = 0.117 eV/atom

a b c (Å): 3.741 3.741 15.744
angles (deg): 90.00 90.00 90.00
Sites, in units of the cell vectors:
Cu1 0.000 0.500 0.250
Cu2 0.000 0.500 0.750
Cu3 0.500 0.000 0.250
Cu4 0.500 0.000 0.750
Sn1 0.000 0.000 0.000
Sn2 0.500 0.500 0.500
Sb1 0.000 0.000 0.374
Sb2 0.000 0.000 0.626
Sb3 0.500 0.500 0.126
Sb4 0.500 0.500 0.874


Question: The lowest DOS(E_F) belongs to which entry?
Answer: Cu2SnSb2